(1)
A plane-wave DFT calculation with GGA-PBE was carried out for crystalline ZrReTc at its relaxed geometry.

The total magnetic moment is 0.00 Bohr magnetons per cell. The energy relative to the elements comes out at -0.307 eV/atom.

The space group is Imma (No. 74) and the conventional cell measures 5.242, 5.374 and 7.437 Å, with angles of 90.00, 90.00 and 90.00 degrees. Symmetry generates all atoms from Zr at (0.000, 0.250, 0.124), Re at (0.250, 0.250, 0.750) and Tc at (0.000, 0.000, 0.500).


(2)
A plane-wave DFT calculation with GGA-PBE was carried out for crystalline Na2Mg12Hg7 at its relaxed geometry.

The total magnetic moment is 0.00 Bohr magnetons per cell. The energy relative to the elements comes out at -0.188 eV/atom.

The space group is P-6 (No. 174) and the conventional cell measures 12.5945, 12.5945 and 3.4674 Å, with angles of 90.00, 90.00 and 120.00 degrees. Symmetry generates all atoms from Na at (0.0000, 0.0000, 0.0000), Na at (0.3333, 0.6667, 0.5000), Mg at (0.0500, 0.2607, 0.5000), Mg at (0.1174, 0.7092, 0.0000), Mg at (0.4082, 0.1655, 0.0000), Mg at (0.5163, 0.4145, 0.5000), Hg at (0.0870, 0.4676, 0.0000), Hg at (0.2428, 0.1991, 0.5000) and Hg at (0.6667, 0.3333, 0.0000).


(3)
A plane-wave DFT calculation with GGA-PBE was carried out for crystalline PmNdSmHo3 at its relaxed geometry.

The total magnetic moment is 0.00 Bohr magnetons per cell. The energy relative to the elements comes out at 0.183 eV/atom.

The space group is P-1 (No. 2) and the conventional cell measures 5.632, 7.048 and 10.376 Å, with angles of 90.02, 105.73 and 90.00 degrees. Symmetry generates all atoms from Pm at (0.148, 0.036, 0.296), Nd at (0.445, 0.749, 0.890), Sm at (0.149, 0.463, 0.297), Ho at (0.023, 0.749, 0.047), Ho at (0.279, 0.751, 0.558) and Ho at (0.334, 0.252, 0.667).


(4)
A plane-wave DFT calculation with GGA-PBE was carried out for crystalline La2Tb3Ho3 at its relaxed geometry.

The total magnetic moment is 0.00 Bohr magnetons per cell. The energy relative to the elements comes out at 0.029 eV/atom.

The space group is Immm (No. 71) and the conventional cell measures 5.103, 5.106 and 20.179 Å, with angles of 90.00, 90.00 and 90.00 degrees. Symmetry generates all atoms from La at (0.000, 0.000, 0.250), Tb at (0.000, 0.000, 0.000), Tb at (0.000, 0.500, 0.122), Ho at (0.000, 0.000, 0.500) and Ho at (0.000, 0.500, 0.378).


(5)
A plane-wave DFT calculation with GGA-PBE was carried out for crystalline Nd2SmEr6 at its relaxed geometry.

The total magnetic moment is 0.00 Bohr magnetons per cell. The energy relative to the elements comes out at 0.076 eV/atom.

The space group is C2/m (No. 12) and the conventional cell measures 16.917, 9.775 and 3.460 Å, with angles of 90.00, 90.08 and 90.00 degrees. Symmetry generates all atoms from Nd at (0.167, 0.000, 0.000), Sm at (0.000, 0.500, 0.000), Er at (0.000, 0.167, 0.500) and Er at (0.166, 0.334, 0.500).


(6)
A plane-wave DFT calculation with GGA-PBE was carried out for crystalline CaInMo2 at its relaxed geometry.

The total magnetic moment is 0.00 Bohr magnetons per cell. The energy relative to the elements comes out at 0.370 eV/atom.

The space group is Cmm2 (No. 35) and the conventional cell measures 3.412, 4.993 and 9.664 Å, with angles of 90.00, 90.00 and 90.00 degrees. Symmetry generates all atoms from Ca at (0.000, 0.000, 0.000), In at (0.000, 0.500, 0.712), Mo at (0.000, 0.000, 0.463) and Mo at (0.000, 0.500, 0.268).


(7)
A plane-wave DFT calculation with GGA-PBE was carried out for crystalline ZrSi2Pd2 at its relaxed geometry.

The formation energy from raw total energies comes out at -0.722 eV/atom. The total magnetic moment is 0.00 Bohr magnetons per cell.

The space group is P2_1/m (No. 11) and the conventional cell measures 4.217, 3.987 and 9.739 Å, with angles of 90.00, 93.77 and 90.00 degrees. Symmetry generates all atoms from Zr at (0.206, 0.250, 0.248), Si at (0.171, 0.750, 0.007), Si at (0.269, 0.250, 0.638), Pd at (0.251, 0.750, 0.496) and Pd at (0.324, 0.250, 0.877).


(8)
A plane-wave DFT calculation with GGA-PBE was carried out for crystalline TbPm5Sm2Ho at its relaxed geometry.

The total magnetic moment is 0.00 Bohr magnetons per cell. The energy relative to the elements comes out at 0.284 eV/atom.

The space group is I4/mcm (No. 140) and the conventional cell measures 8.684, 8.684 and 16.233 Å, with angles of 90.00, 90.00 and 90.00 degrees. Symmetry generates all atoms from Tb at (0.000, 0.000, 0.250), Pm at (0.000, 0.000, 0.000), Pm at (0.212, 0.288, 0.141), Sm at (0.119, 0.381, 0.500) and Ho at (0.000, 0.500, 0.250).


(9)
A plane-wave DFT calculation with GGA-PBE was carried out for crystalline TlGaAg2 at its relaxed geometry.

The total magnetic moment is 0.00 Bohr magnetons per cell. The energy relative to the elements comes out at 0.180 eV/atom.

The space group is I-42d (No. 122) and the conventional cell measures 4.311, 4.311 and 19.121 Å, with angles of 90.00, 90.00 and 90.00 degrees. Symmetry generates all atoms from Tl at (0.000, 0.000, 0.000), Ga at (0.000, 0.000, 0.500) and Ag at (0.222, 0.250, 0.625).


(10)
A plane-wave DFT calculation with GGA-PBE was carried out for crystalline TlSb2Se4 at its relaxed geometry.

The formation energy from raw total energies comes out at -0.231 eV/atom. The total magnetic moment is 0.00 Bohr magnetons per cell.

The space group is Cmcm (No. 63) and the conventional cell measures 4.124, 13.690 and 14.220 Å, with angles of 90.00, 90.00 and 90.00 degrees. Symmetry generates all atoms from Tl at (0.000, 0.085, 0.250), Sb at (0.000, 0.362, 0.063), Se at (0.000, 0.000, 0.000), Se at (0.000, 0.267, 0.615) and Se at (0.000, 0.423, 0.250).


(11)
A plane-wave DFT calculation with GGA-PBE was carried out for crystalline AlTlCd at its relaxed geometry.

The total magnetic moment is 0.00 Bohr magnetons per cell. The energy relative to the elements comes out at 0.185 eV/atom.

The space group is I4mm (No. 107) and the conventional cell measures 3.226, 3.226 and 13.843 Å, with angles of 90.00, 90.00 and 90.00 degrees. Symmetry generates all atoms from Al at (0.000, 0.000, 0.000), Tl at (0.000, 0.000, 0.672) and Cd at (0.000, 0.000, 0.358).


(12)
A plane-wave DFT calculation with GGA-PBE was carried out for crystalline LiTlZnSn at its relaxed geometry.

The total magnetic moment is 0.00 Bohr magnetons per cell. The energy relative to the elements comes out at -0.067 eV/atom.

The space group is F-43m (No. 216) and the conventional cell measures 7.051, 7.051 and 7.051 Å, with angles of 90.00, 90.00 and 90.00 degrees. Symmetry generates all atoms from Li at (0.000, 0.000, 0.000), Tl at (0.250, 0.250, 0.750), Zn at (0.000, 0.000, 0.500) and Sn at (0.250, 0.250, 0.250).


(13)
A plane-wave DFT calculation with GGA-PBE was carried out for crystalline NaAlPb2 at its relaxed geometry.

The total magnetic moment is 0.00 Bohr magnetons per cell. The energy relative to the elements comes out at 0.085 eV/atom.

The space group is R3m (No. 160, hexagonal axes) and the conventional cell measures 4.8346, 4.8346 and 17.4769 Å, with angles of 90.00, 90.00 and 120.00 degrees. Symmetry generates all atoms from Na at (0.0000, 0.0000, 0.0000), Al at (0.0000, 0.0000, 0.1843), Pb at (0.0000, 0.0000, 0.5747) and Pb at (0.0000, 0.0000, 0.7799).


(14)
A plane-wave DFT calculation with GGA-PBE was carried out for crystalline BeTl2Re at its relaxed geometry.

The total magnetic moment is 2.00 Bohr magnetons per cell. The energy relative to the elements comes out at 1.133 eV/atom.

The space group is Cmmm (No. 65) and the conventional cell measures 3.106, 5.418 and 9.084 Å, with angles of 90.00, 90.00 and 90.00 degrees. Symmetry generates all atoms from Be at (0.000, 0.000, 0.000), Tl at (0.000, 0.500, 0.235) and Re at (0.000, 0.000, 0.500).


(15)
A plane-wave DFT calculation with GGA-PBE was carried out for crystalline Rb2Ta2F at its relaxed geometry.

The formation energy from raw total energies comes out at 1.021 eV/atom. The total magnetic moment is 0.00 Bohr magnetons per cell.

The space group is I4/mmm (No. 139) and the conventional cell measures 7.196, 7.196 and 6.716 Å, with angles of 90.00, 90.00 and 90.00 degrees. Symmetry generates all atoms from Rb at (0.000, 0.500, 0.250), Ta at (0.000, 0.000, 0.172) and F at (0.000, 0.000, 0.500).


(16)
A plane-wave DFT calculation with GGA-PBE was carried out for crystalline TbPmMg2 at its relaxed geometry.

The total magnetic moment is 0.00 Bohr magnetons per cell. The energy relative to the elements comes out at 0.040 eV/atom.

The space group is R-3m (No. 166, hexagonal axes) and the conventional cell measures 3.5158, 3.5158 and 32.7557 Å, with angles of 90.00, 90.00 and 120.00 degrees. Symmetry generates all atoms from Tb at (0.0000, 0.0000, 0.0000), Pm at (0.0000, 0.0000, 0.5000) and Mg at (0.0000, 0.0000, 0.2511).


(17)
A plane-wave DFT calculation with GGA-PBE was carried out for crystalline Y2ScTlS at its relaxed geometry.

The formation energy from raw total energies comes out at 0.127 eV/atom. The total magnetic moment is 0.00 Bohr magnetons per cell.

The space group is P4/mmm (No. 123) and the conventional cell measures 5.697, 5.697 and 4.721 Å, with angles of 90.00, 90.00 and 90.00 degrees. Symmetry generates all atoms from Y at (0.000, 0.500, 0.000), Sc at (0.000, 0.000, 0.000), Tl at (0.500, 0.500, 0.500) and S at (0.000, 0.000, 0.500).


(18)
A plane-wave DFT calculation with GGA-PBE was carried out for crystalline Tm2Ga3Hg at its relaxed geometry.

The total magnetic moment is 0.00 Bohr magnetons per cell. The energy relative to the elements comes out at -0.510 eV/atom.

The space group is Fmmm (No. 69) and the conventional cell measures 7.107, 9.044 and 15.549 Å, with angles of 90.00, 90.00 and 90.00 degrees. Symmetry generates all atoms from Tm at (0.249, 0.000, 0.000), Tm at (0.250, 0.250, 0.250), Ga at (0.000, 0.000, 0.338), Ga at (0.000, 0.244, 0.419) and Hg at (0.000, 0.000, 0.167).


(19)
A plane-wave DFT calculation with GGA-PBE was carried out for crystalline TlNiS at its relaxed geometry.

The formation energy from raw total energies comes out at -0.253 eV/atom. The total magnetic moment is 0.00 Bohr magnetons per cell.

The space group is Pbcm (No. 57) and the conventional cell measures 8.397, 5.288 and 5.492 Å, with angles of 90.00, 90.00 and 90.00 degrees. Symmetry generates all atoms from Tl at (0.152, 0.026, 0.250), Ni at (0.453, 0.250, 0.000) and S at (0.362, 0.549, 0.250).


(20)
A plane-wave DFT calculation with GGA-PBE was carried out for crystalline NaCaPrSn at its relaxed geometry.

The total magnetic moment is 0.00 Bohr magnetons per cell. The energy relative to the elements comes out at -0.358 eV/atom.

The space group is F-43m (No. 216) and the conventional cell measures 7.811, 7.811 and 7.811 Å, with angles of 90.00, 90.00 and 90.00 degrees. Symmetry generates all atoms from Na at (0.000, 0.000, 0.000), Ca at (0.250, 0.250, 0.750), Pr at (0.250, 0.250, 0.250) and Sn at (0.000, 0.000, 0.500).